! ZnRuPt, optimized geometry, DFT PBE; values from VASP
&SYSTEM
  ibrav = 0, nat = 12, ntyp = 3
/
ATOMIC_SPECIES
Zn 65.41 Zn.upf
Ru 101.07 Ru.upf
Pt 195.08 Pt.upf
CELL_PARAMETERS angstrom
5.9708 0.0000 0.0000
0.0000 5.9708 0.0000
0.0000 0.0000 5.9708
ATOMIC_POSITIONS crystal
Zn 0.0000 0.0000 0.0000
Zn 0.0000 0.5000 0.5000
Zn 0.5000 0.0000 0.5000
Zn 0.5000 0.5000 0.0000
Ru 0.0000 0.0000 0.5000
Ru 0.0000 0.5000 0.0000
Ru 0.5000 0.0000 0.0000
Ru 0.5000 0.5000 0.5000
Pt 0.2500 0.2500 0.2500
Pt 0.2500 0.7500 0.7500
Pt 0.7500 0.2500 0.7500
Pt 0.7500 0.7500 0.2500
! VASP energy ... -5.270 eV/atom
! Spin magnetization ... 0.6658 μB per atom
! Energy relative to the elements ... 261 meV per atom
! DOS(E_F) ... 9.8 states/eV per cell